# Cs2RbAlP2 PBE-GGA optimized geometry
# **ΔH_f (0 K)**: -0.4476 eV per atom
data_Cs2RbAlP2
_chemical_formula_sum 'Cs8 Rb4 Al4 P8'
_space_group_name_H-M_alt 'I b a m'
_space_group_IT_number 72
_space_group_name_Hall '-I 2 2c'
_cell_length_a 8.016
_cell_length_b 15.870
_cell_length_c 6.659
_cell_angle_alpha 90.00
_cell_angle_beta 90.00
_cell_angle_gamma 90.00
loop_
_atom_site_label
_atom_site_fract_x
_atom_site_fract_y
_atom_site_fract_z
Cs1 0.212 0.176 0.000
Rb1 0.000 0.500 0.250
Al1 0.000 0.000 0.250
P1 0.167 0.079 0.500